Entry 1:
# Pr3Dy5Er4, relaxed, DFT PBE
data_Pr3Dy5Er4
_space_group_name_H-M_alt 'C 1 2/m 1'
_space_group_IT_number 12
_cell_length_a 16.0105
_cell_length_b 5.9326
_cell_length_c 9.2715
_cell_angle_alpha 90.00
_cell_angle_beta 116.14
_cell_angle_gamma 90.00
loop_
_space_group_symop_operation_xyz
'x,y,z'
'-x,-y,-z'
'-x,y,-z'
'x,-y,z'
'x+1/2,y+1/2,z'
'-x+1/2,-y+1/2,-z'
'-x+1/2,y+1/2,-z'
'x+1/2,-y+1/2,z'
loop_
_atom_site_label
_atom_site_type_symbol
_atom_site_fract_x
_atom_site_fract_y
_atom_site_fract_z
Pr1 Pr 0.0000 0.0000 0.0000
Pr2 Pr 0.2084 0.5000 0.2297
Dy1 Dy 0.0000 0.5000 0.0000
Dy2 Dy 0.0738 0.0000 0.6964
Dy3 Dy 0.1721 0.0000 0.3883
Er1 Er 0.0815 0.5000 0.4415
Er2 Er 0.2083 0.5000 0.8750
# - DFT total energy: -4.39 eV per atom
# - N(E_F): 1.6215 states/eV/atom
# - Energy of formation: 0.241 eV per atom

Entry 2:
# Zn2NiSb2, relaxed, DFT PBE
data_Zn2NiSb2
_space_group_name_H-M_alt 'I 4/m m m'
_space_group_IT_number 139
_space_group_name_Hall '-I 4 2'
_cell_length_a 4.3648
_cell_length_b 4.3648
_cell_length_c 11.9528
_cell_angle_alpha 90.00
_cell_angle_beta 90.00
_cell_angle_gamma 90.00
loop_
_atom_site_label
_atom_site_type_symbol
_atom_site_fract_x
_atom_site_fract_y
_atom_site_fract_z
Zn1 Zn 0.0000 0.0000 0.0968
Ni1 Ni 0.0000 0.0000 0.5000
Sb1 Sb 0.0000 0.5000 0.2500
# - DFT total energy: -2.67 eV per atom
# - N(E_F): 0.7640 states/eV/atom

| no. | excess energy over the best structure of this formula in the dataset (meV per atom) |
| --- | --- |
| 1 | 221 |
| 2 | 434 |